[1]
Entry from the Alexandria database: crystalline YBAu2 at its relaxed geometry (GGA-PBE).

Structure (POSCAR):
```
YBAu2
1.0
5.191 0.000 0.000
0.000 5.191 0.000
0.000 0.000 13.041
Y B Au
4 4 8
Direct
0.000 0.000 0.000 Y
0.000 0.500 0.250 Y
0.500 0.000 0.750 Y
0.500 0.500 0.500 Y
0.000 0.000 0.500 B
0.000 0.500 0.750 B
0.500 0.000 0.250 B
0.500 0.500 0.000 B
0.118 0.250 0.625 Au
0.250 0.618 0.875 Au
0.250 0.882 0.375 Au
0.382 0.250 0.125 Au
0.618 0.750 0.125 Au
0.750 0.118 0.375 Au
0.750 0.382 0.875 Au
0.882 0.750 0.625 Au
```

Values from the calculation:
The formation energy is -2 kJ per mole of atoms. The calculation puts the density of states at the Fermi level at 3.74 states/eV/cell. For the calculated volume, the calculation gives 351.4 Å³ per cell.



[2]
Entry from the Alexandria database: crystalline ZrNiAs2 at its relaxed geometry (GGA-PBE).

Structure (POSCAR):
```
ZrNiAs2
1.0
6.461 0.000 0.000
0.000 6.461 0.000
0.000 0.000 6.461
Zr Ni As
4 4 8
Direct
0.000 0.000 0.000 Zr
0.000 0.500 0.500 Zr
0.500 0.000 0.500 Zr
0.500 0.500 0.000 Zr
0.000 0.000 0.500 Ni
0.000 0.500 0.000 Ni
0.500 0.000 0.000 Ni
0.500 0.500 0.500 Ni
0.250 0.250 0.250 As
0.250 0.250 0.750 As
0.250 0.750 0.250 As
0.250 0.750 0.750 As
0.750 0.250 0.250 As
0.750 0.250 0.750 As
0.750 0.750 0.250 As
0.750 0.750 0.750 As
```

Values from the calculation:
The formation energy is -29 kJ per mole of atoms. The calculation puts the density of states at the Fermi level at 8.49 states/eV/cell. For the calculated volume, the calculation gives 269.7 Å³ per cell.



[3]
Entry from the Alexandria database: crystalline RbBaNa17 at its relaxed geometry (GGA-PBE).

Structure (POSCAR):
```
RbBaNa17
1.0
6.127 3.537 6.101
-6.127 3.537 6.101
0.000 -7.075 6.101
Rb Ba Na
1 1 17
Direct
0.000 0.000 0.000 Rb
0.323 0.323 0.323 Ba
0.011 0.011 0.506 Na
0.011 0.506 0.011 Na
0.161 0.653 0.653 Na
0.310 0.310 0.808 Na
0.310 0.808 0.310 Na
0.362 0.655 0.956 Na
0.362 0.956 0.655 Na
0.506 0.011 0.011 Na
0.559 0.559 0.559 Na
0.653 0.161 0.653 Na
0.653 0.653 0.161 Na
0.655 0.362 0.956 Na
0.655 0.956 0.362 Na
0.754 0.754 0.754 Na
0.808 0.310 0.310 Na
0.956 0.362 0.655 Na
0.956 0.655 0.362 Na
```

Values from the calculation:
The formation energy is 2 kJ per mole of atoms. The calculation puts the density of states at the Fermi level at 10.35 states/eV/cell. For the calculated volume, the calculation gives 793.4 Å³ per cell.



[4]
Entry from the Alexandria database: crystalline NaTbSmAl at its relaxed geometry (GGA-PBE).

Structure (POSCAR):
```
NaTbSmAl
1.0
7.557 0.000 0.000
0.000 7.557 0.000
0.000 0.000 7.557
Na Tb Sm Al
4 4 4 4
Direct
0.000 0.000 0.000 Na
0.000 0.500 0.500 Na
0.500 0.000 0.500 Na
0.500 0.500 0.000 Na
0.250 0.250 0.750 Tb
0.250 0.750 0.250 Tb
0.750 0.250 0.250 Tb
0.750 0.750 0.750 Tb
0.250 0.250 0.250 Sm
0.250 0.750 0.750 Sm
0.750 0.250 0.750 Sm
0.750 0.750 0.250 Sm
0.000 0.000 0.500 Al
0.000 0.500 0.000 Al
0.500 0.000 0.000 Al
0.500 0.500 0.500 Al
```

Values from the calculation:
The formation energy is -4 kJ per mole of atoms. The calculation puts the density of states at the Fermi level at 18.67 states/eV/cell. For the calculated volume, the calculation gives 431.6 Å³ per cell.